# RbEuTl4

A relaxed structure of RbEuTl4 (PBE, Alexandria).

M_tot in μB/f.u.: 7.0
Raw total energy in eV/cell: -21.5
Space group: F-43m (216)
Energy of formation from the pure elements in eV/atom: -0.140

Cell: 6.5839 6.5839 6.5839 Å, 60.00 60.00 60.00°
Closest atoms and distances in Å follow each position.
Fractional positions:
Eu  0.0000  0.0000  0.0000  12 Tl 3.86, 4 Rb 4.03
Tl  0.1237  0.6254  0.6254  6 Tl 3.28-3.30
Tl  0.6254  0.1237  0.6254  6 Tl 3.28-3.30
Tl  0.6254  0.6254  0.6254  6 Tl 3.28-3.30
Tl  0.6254  0.6254  0.1237  6 Tl 3.28-3.30
Rb  0.2500  0.2500  0.2500  12 Tl 3.86, 4 Eu 4.03